1.
DFT (PBE) results for La3HgH3 after structural relaxation.

```
La3HgH3
1.0
-0.0989 -5.3680 -3.9040
-1.3396 -3.8080 5.2698
-6.5009 0.8664 -1.0265
H Hg La
6 2 6
Cartesian
-3.2752 -0.9088 -1.4893 H
-2.2951 -1.6874 2.3783 H
-1.0542 -5.5400 2.0004 H
-3.3247 -3.5928 -3.4413 H
-5.5455 -1.2542 1.8650 H
-0.3844 -3.6360 -0.6346 H
-3.9698 -4.1548 0.1696 Hg
0.0000 0.0000 0.0000 Hg
-3.5854 -0.5188 0.8042 La
-4.2552 -2.4228 3.4391 La
-4.9252 -2.0342 -2.7219 La
-0.7440 -5.9300 -0.2931 La
-1.6747 -2.4674 -2.2087 La
-0.6946 -3.2460 1.6589 La
```

Properties
Total DFT energy (no corrections) in Ry per atom: -0.295
Crystal system: cubic

2.
DFT (PBE) results for LaHgH3 after structural relaxation.

```
LaHgH3
1.0
4.0439 0.0000 0.0000
0.0000 4.0439 0.0000
0.0000 0.0000 4.0439
H Hg La
3 1 1
Cartesian
0.0000 2.0219 0.0000 H
0.0000 0.0000 2.0219 H
2.0219 0.0000 0.0000 H
0.0000 0.0000 0.0000 Hg
2.0219 2.0219 2.0219 La
```

Properties
Energy above the most stable polymorph in this dataset in eV per atom: 0.212
Crystal system: cubic

3.
DFT (PBE) results for La2Hg2H after structural relaxation.

```
La2Hg2H
1.0
-5.8643 1.1770 3.8748
-1.1911 -7.0187 0.3295
2.8636 -0.2785 4.4185
H Hg La
2 4 4
Cartesian
0.0000 0.0000 0.0000 H
-3.5277 -2.9208 2.1021 H
-0.2039 -4.5098 2.9937 Hg
-3.3804 -5.3613 4.9987 Hg
-3.9880 -1.6104 5.6290 Hg
-0.8114 -0.7590 3.6240 Hg
-2.9214 -5.4352 1.5507 La
-5.6638 -3.7283 3.4356 La
-4.1339 -0.4065 2.6535 La
-1.3915 -2.1133 0.7686 La
```

Properties
Total DFT energy (no corrections) in Ry per atom: -0.225
Crystal system: tetragonal

4.
DFT (PBE) results for LaHg2H2 after structural relaxation.

```
LaHg2H2
1.0
-1.5803 -2.7243 2.1399
2.2920 -2.5860 -1.5995
4.7246 -1.6053 4.8331
H Hg La
2 2 1
Cartesian
1.7500 -3.4923 3.6216 H
3.6862 -3.4232 1.7519 H
1.7051 -2.3309 1.6795 Hg
3.7311 -4.5846 3.6941 Hg
0.0000 0.0000 0.0000 La
```

Properties
Energy above the most stable polymorph in this dataset in eV per atom: 0.345
Crystal system: tetragonal

5.
DFT (PBE) results for La6Hg3H after structural relaxation.

```
La6Hg3H
1.0
5.6144 0.0000 0.0000
0.0000 10.0071 -3.7265
0.0000 -0.3866 10.6714
La Hg H
12 6 2
Cartesian
0.8081 7.2522 3.4896 La
3.6153 5.5953 5.7848 La
0.8005 4.1799 7.8519 La
3.6077 8.7686 1.4954 La
0.8072 0.4731 9.4806 La
3.5970 1.9781 7.3958 La
0.7897 7.6424 -0.4508 La
3.6144 9.1474 -2.5357 La
0.8005 0.8519 5.4495 La
3.6077 5.4406 -0.9070 La
0.8081 4.0252 1.1601 La
3.6153 2.3683 3.4553 La
3.6219 8.8254 4.7997 Hg
0.8147 7.3341 6.8656 Hg
0.8039 4.0074 4.5846 Hg
3.6111 5.6131 2.3603 Hg
0.8147 0.7951 2.1452 Hg
3.6219 2.2864 0.0793 Hg
1.0922 1.8425 7.5835 H
3.8994 7.7780 -0.6386 H
```

Properties
Energy above the most stable polymorph in this dataset in eV per atom: 0.000
Crystal system: orthorhombic

6.
DFT (PBE) results for LaHgH3 after structural relaxation.

```
LaHgH3
1.0
4.5453 0.0000 0.0000
0.0000 4.5453 0.0000
0.0000 0.0000 4.5453
H Hg La
3 1 1
Cartesian
0.0000 2.2726 0.0000 H
0.0000 0.0000 2.2726 H
2.2726 0.0000 0.0000 H
2.2726 2.2726 2.2726 Hg
0.0000 0.0000 0.0000 La
```

Properties
Energy above the most stable polymorph in this dataset in eV per atom: 0.000
Crystal system: cubic

7.
DFT (PBE) results for La6Hg3H after structural relaxation.

```
La6Hg3H
1.0
6.6766 0.0000 0.2087
0.0000 8.5587 0.0000
0.4038 0.0000 10.5258
La Hg H
12 6 2
Cartesian
4.6426 1.2552 10.1536 La
4.2629 1.8214 6.0294 La
4.4817 3.8092 3.0082 La
2.5986 4.7495 7.7264 La
2.8174 6.7373 4.7051 La
2.4378 7.3034 0.5810 La
1.1024 3.0241 4.7863 La
0.7227 2.4580 0.6621 La
1.3454 0.4701 8.1667 La
5.7350 8.0886 2.5678 La
6.3576 6.1007 10.0724 La
5.9780 5.5346 5.9483 La
4.2878 7.5636 7.8501 Hg
3.3383 4.2793 0.1044 Hg
2.7926 0.9951 2.8845 Hg
0.7476 5.2744 2.4828 Hg
0.2019 0.0000 5.2629 Hg
6.3328 3.2842 8.2517 Hg
3.5402 4.2793 5.3673 H
0.0000 0.0000 0.0000 H
```

Properties
Energy above the most stable polymorph in this dataset in eV per atom: 0.081
Crystal system: monoclinic

8.
DFT (PBE) results for LiLa2HgH after structural relaxation.

```
LiLa2HgH
1.0
-3.4967 -3.9033 -1.6753
3.2628 -3.1405 0.5070
-1.5889 -0.8105 5.2046
H Li Hg La
1 1 1 2
Cartesian
-0.9114 -3.9271 2.0181 H
0.0000 0.0000 0.0000 Li
1.6314 -1.5702 0.2535 Hg
-0.7944 -0.4052 2.6023 La
-1.7483 -1.9516 -0.8377 La
```

Properties
Energy above the most stable polymorph in this dataset in eV per atom: 0.816
Crystal system: tetragonal

9.
DFT (PBE) results for LiLa2HgH after structural relaxation.

```
LiLa2HgH
1.0
5.2399 0.0000 0.0000
0.0000 5.2399 0.0000
0.0000 0.0000 4.1762
H Li Hg La
1 1 1 2
Cartesian
0.0000 0.0000 0.0000 H
0.0000 0.0000 2.0881 Li
2.6199 2.6199 2.0881 Hg
0.0000 2.6199 0.0000 La
2.6199 0.0000 0.0000 La
```

Properties
Energy above the most stable polymorph in this dataset in eV per atom: 0.000
Crystal system: tetragonal

10.
DFT (PBE) results for LiLa2HgH after structural relaxation.

```
LiLa2HgH
1.0
-0.1216 4.7832 1.2698
-1.5618 -1.2424 4.5303
4.4987 -0.2771 1.4749
H Li Hg La
1 1 1 2
Cartesian
0.0000 0.0000 0.0000 H
1.4076 1.6319 3.6375 Li
2.2493 -0.1386 0.7374 Hg
-0.7809 -0.6212 2.2652 La
-0.0608 2.3916 0.6349 La
```

Properties
Energy above the most stable polymorph in this dataset in eV per atom: 0.139
Crystal system: tetragonal

11.
DFT (PBE) results for LaMg2HgH after structural relaxation.

```
LaMg2HgH
1.0
-4.1638 1.7558 -1.4329
-2.2105 -3.8072 1.7584
-0.4939 2.1875 4.1156
H Mg Hg La
1 2 1 1
Cartesian
0.0000 0.0000 0.0000 H
-1.1053 -1.9036 0.8792 Mg
-2.0819 0.8779 -0.7165 Mg
-3.4341 0.0680 2.2205 Hg
-0.2469 1.0938 2.0578 La
```

Properties
Energy above the most stable polymorph in this dataset in eV per atom: 0.000
Crystal system: tetragonal

12.
DFT (PBE) results for LaHgMo2H after structural relaxation.

```
LaHgMo2H
1.0
5.4392 0.0000 0.0000
0.0000 3.4963 0.0000
0.0000 0.0000 5.4392
H Mo Hg La
1 2 1 1
Cartesian
0.0000 1.7481 0.0000 H
0.0000 0.0000 2.7196 Mo
2.7196 0.0000 0.0000 Mo
0.0000 0.0000 0.0000 Hg
2.7196 1.7481 2.7196 La
```

Properties
Total DFT energy (no corrections) in Ry per atom: -0.346
Crystal system: tetragonal

13.
DFT (PBE) results for La2HgHN after structural relaxation.

```
La2HgHN
1.0
5.8021 0.0000 0.0000
0.0000 3.6824 0.0000
0.0000 0.0000 5.8021
H N Hg La
1 1 1 2
Cartesian
0.0000 1.8412 0.0000 H
2.9010 1.8412 2.9010 N
0.0000 0.0000 0.0000 Hg
0.0000 0.0000 2.9010 La
2.9010 0.0000 0.0000 La
```

Properties
Total DFT energy (no corrections) in Ry per atom: -0.264
Crystal system: tetragonal

14.
DFT (PBE) results for NaLa2HgH after structural relaxation.

```
NaLa2HgH
1.0
5.1298 0.0000 0.0000
0.0000 5.1298 0.0000
0.0000 0.0000 4.6418
Na Hg H La
1 1 1 2
Cartesian
0.0000 0.0000 2.3209 Na
2.5649 2.5649 2.3209 Hg
0.0000 0.0000 0.0000 H
0.0000 2.5649 0.0000 La
2.5649 0.0000 0.0000 La
```

Properties
Total DFT energy (no corrections) in Ry per atom: -0.238
Crystal system: tetragonal

15.
DFT (PBE) results for NaLaHg2H after structural relaxation.

```
NaLaHg2H
1.0
-3.4549 3.9809 -0.1115
-3.2746 -2.9237 -2.9198
-1.8554 -1.5096 3.5925
Na Hg H La
1 2 1 1
Cartesian
-4.2924 -0.2262 0.2806 Na
-1.6373 -1.4618 -1.4599 Hg
-1.7274 1.9904 -0.0557 Hg
0.0000 0.0000 0.0000 H
-0.9277 -0.7548 1.7962 La
```

Properties
Total DFT energy (no corrections) in Ry per atom: -0.168
Crystal system: tetragonal

16.
DFT (PBE) results for Na2LaHgH after structural relaxation.

```
Na2LaHgH
1.0
4.7799 0.0000 0.0000
0.0000 4.7799 0.0000
0.0000 0.0000 5.1221
Na Hg H La
2 1 1 1
Cartesian
0.0000 2.3900 0.0000 Na
2.3900 0.0000 0.0000 Na
2.3900 2.3900 2.5611 Hg
0.0000 0.0000 0.0000 H
0.0000 0.0000 2.5611 La
```

Properties
Total DFT energy (no corrections) in Ry per atom: -0.179
Crystal system: tetragonal

17.
DFT (PBE) results for LaNbHg2H after structural relaxation.

```
LaNbHg2H
1.0
6.3161 0.0000 0.0000
0.0000 5.1644 0.0000
0.0000 0.0000 6.3161
H Nb Hg La
1 1 2 1
Cartesian
3.1581 2.5822 3.1581 H
0.0000 2.5822 0.0000 Nb
0.0000 0.0000 3.1581 Hg
3.1581 0.0000 0.0000 Hg
0.0000 0.0000 0.0000 La
```

Properties
Total DFT energy (no corrections) in Ry per atom: -0.168
Crystal system: tetragonal

18.
DFT (PBE) results for La2NiHgH after structural relaxation.

```
La2NiHgH
1.0
5.3684 0.0000 0.0000
0.0000 5.3684 0.0000
0.0000 0.0000 3.7098
Ni Hg H La
1 1 1 2
Cartesian
0.0000 0.0000 1.8549 Ni
2.6842 2.6842 1.8549 Hg
0.0000 0.0000 0.0000 H
0.0000 2.6842 0.0000 La
2.6842 0.0000 0.0000 La
```

Properties
Total DFT energy (no corrections) in Ry per atom: -0.310
Crystal system: tetragonal

19.
DFT (PBE) results for LaHgHO2 after structural relaxation.

```
LaHgHO2
1.0
4.1577 0.0000 0.0000
0.0000 5.9700 0.0000
0.0000 0.0000 4.1577
H Hg O La
1 1 2 1
Cartesian
2.0789 2.9850 2.0789 H
0.0000 0.0000 0.0000 Hg
0.0000 0.0000 2.0789 O
2.0789 0.0000 0.0000 O
0.0000 2.9850 0.0000 La
```

Properties
Total DFT energy (no corrections) in Ry per atom: -0.257
Crystal system: tetragonal

20.
DFT (PBE) results for LaHgH2Os after structural relaxation.

```
LaHgH2Os
1.0
4.0879 0.0000 0.0000
0.0000 6.3248 0.0000
0.0000 0.0000 4.0879
H Os Hg La
2 1 1 1
Cartesian
0.0000 0.0000 2.0439 H
2.0439 0.0000 0.0000 H
2.0439 3.1624 2.0439 Os
0.0000 3.1624 0.0000 Hg
0.0000 0.0000 0.0000 La
```

Properties
Total DFT energy (no corrections) in Ry per atom: -0.274
Crystal system: tetragonal

21.
DFT (PBE) results for LaHg2HPb after structural relaxation.

```
LaHg2HPb
1.0
4.9591 0.0000 0.0000
0.0000 4.9591 0.0000
0.0000 0.0000 4.6724
Pb H Hg La
1 1 2 1
Cartesian
2.4795 2.4795 2.3362 Pb
0.0000 0.0000 0.0000 H
0.0000 2.4795 0.0000 Hg
2.4795 0.0000 0.0000 Hg
0.0000 0.0000 2.3362 La
```

Properties
Total DFT energy (no corrections) in Ry per atom: -0.207
Crystal system: tetragonal

22.
DFT (PBE) results for LaHgHPb2 after structural relaxation.

```
LaHgHPb2
1.0
-2.9842 3.3445 -2.3708
-4.0131 -1.7841 2.5345
0.7715 3.1023 3.4053
Pb H Hg La
2 1 1 1
Cartesian
-2.0065 -0.8921 1.2673 Pb
-1.4921 1.6722 -1.1854 Pb
0.0000 0.0000 0.0000 H
-3.1129 2.3313 1.7845 Hg
0.3857 1.5512 1.7027 La
```

Properties
Total DFT energy (no corrections) in Ry per atom: -0.254
Crystal system: tetragonal

23.
DFT (PBE) results for Rb2LaHgH after structural relaxation.

```
Rb2LaHgH
1.0
-4.8657 -1.1384 -6.1097
3.3128 -1.1262 -2.4284
-0.9665 -7.5264 2.1721
H Hg Rb La
1 1 2 1
Cartesian
1.6564 -0.5631 -1.2142 H
-1.2597 -4.8955 -3.1830 Hg
-0.4833 -3.7632 1.0861 Rb
-2.4328 -0.5692 -3.0548 Rb
0.0000 0.0000 0.0000 La
```

Properties
Total DFT energy (no corrections) in Ry per atom: -0.131
Crystal system: tetragonal

24.
DFT (PBE) results for La2HgHRh after structural relaxation.

```
La2HgHRh
1.0
-0.0927 -5.3151 -0.8139
5.1483 0.1472 -1.5474
1.0814 -0.5616 3.5447
H Rh Hg La
1 1 1 2
Cartesian
0.0000 0.0000 0.0000 H
0.5407 -0.2808 1.7723 Rh
3.0685 -2.8648 0.5917 Hg
2.5742 0.0736 -0.7737 La
-0.0463 -2.6576 -0.4069 La
```

Properties
Total DFT energy (no corrections) in Ry per atom: -0.346
Crystal system: tetragonal

25.
DFT (PBE) results for LaHgH6Ru after structural relaxation.

```
LaHgH6Ru
1.0
-1.1561 -0.3887 -4.7085
3.1925 -1.9006 -3.1393
-1.7053 -4.1176 0.7587
La Hg H Ru
1 1 6 1
Cartesian
1.4901 -6.0107 -2.3818 La
0.5100 -3.5741 -4.8545 Hg
1.0679 -1.8217 -1.5862 H
-1.7029 -3.5088 -1.8037 H
-0.3724 -4.3011 -3.1144 H
0.1110 -4.1393 -1.1494 H
0.5815 -1.9792 -3.5343 H
-0.7336 -1.1938 -2.2285 H
-0.1759 -2.8275 -2.2355 Ru
```

Properties
Total DFT energy (no corrections) in Ry per atom: -0.293
Crystal system: trigonal

26.
DFT (PBE) results for LaHg2SbH after structural relaxation.

```
LaHg2SbH
1.0
4.8435 0.0000 0.0000
0.0000 4.8435 0.0000
0.0000 0.0000 4.7722
Sb Hg H La
1 2 1 1
Cartesian
2.4217 2.4217 2.3861 Sb
0.0000 2.4217 0.0000 Hg
2.4217 0.0000 0.0000 Hg
0.0000 0.0000 0.0000 H
0.0000 0.0000 2.3861 La
```

Properties
Total DFT energy (no corrections) in Ry per atom: -0.217
Crystal system: tetragonal